*P*
Below is a relaxed structure of HfSnCl6, with properties calculated at the GGA-PBE level.

a = 7.0189 Å, b = 7.0189 Å, c = 6.6395 Å
α = 97.54°, β = 97.54°, γ = 122.97°
Last column: nearest neighbours and their distance in Å.
Atoms (fractional coordinates):
Hf (0.0000, 0.0000, 0.0000)  6 Cl 2.46-2.47
Sn (0.5000, 0.5000, 0.5000)  6 Cl 2.85-2.87
Cl (0.0752, 0.3564, 0.2222)  1 Hf 2.47
Cl (0.2340, 0.2340, 0.7728)  1 Hf 2.46
Cl (0.3564, 0.0752, 0.2222)  1 Hf 2.47
Cl (0.6436, 0.9248, 0.7778)  1 Hf 2.47
Cl (0.7660, 0.7660, 0.2272)  1 Hf 2.46
Cl (0.9248, 0.6436, 0.7778)  1 Hf 2.47

Results
Fermi-level density of states (states/eV/atom): 0.000
Space group: C2/m (12)

=====

*Q*
Below is a relaxed structure of HfSnCl6, with properties calculated at the GGA-PBE level.

a = 7.1888 Å, b = 7.1888 Å, c = 7.1888 Å
α = 55.42°, β = 55.42°, γ = 55.42°
Last column: nearest neighbours and their distance in Å.
Atoms (fractional coordinates):
Hf (0.0000, 0.0000, 0.0000)  6 Cl 2.47
Sn (0.5000, 0.5000, 0.5000)  6 Cl 2.87
Cl (0.0702, 0.3836, 0.7791)  1 Hf 2.47
Cl (0.2209, 0.9298, 0.6164)  1 Hf 2.47
Cl (0.3836, 0.7791, 0.0702)  1 Hf 2.47
Cl (0.6164, 0.2209, 0.9298)  1 Hf 2.47
Cl (0.7791, 0.0702, 0.3836)  1 Hf 2.47
Cl (0.9298, 0.6164, 0.2209)  1 Hf 2.47

Results
Fermi-level density of states (states/eV/atom): 0.000
Space group: R-3 (148)

=====

Ranked by calculated energy, most stable first: *P*, *Q*.

=====

*P*
Below is a relaxed structure of HfSn2Cl, with properties calculated at the GGA-PBE level.

a = 5.1704 Å, b = 5.1704 Å, c = 5.1704 Å
α = 60.00°, β = 60.00°, γ = 60.00°
Last column: nearest neighbours and their distance in Å.
Atoms (fractional coordinates):
Hf (0.0000, 0.0000, 0.0000)  8 Sn 3.17
Sn (0.2500, 0.2500, 0.2500)  4 Cl 3.17, 4 Hf 3.17
Sn (0.7500, 0.7500, 0.7500)  4 Hf 3.17, 4 Cl 3.17
Cl (0.5000, 0.5000, 0.5000)  8 Sn 3.17

Results
Fermi-level density of states (states/eV/atom): 1.334
Space group: Fm-3m (225)

=====

*Q*
Below is a relaxed structure of HfSn2Cl, with properties calculated at the GGA-PBE level.

a = 11.5451 Å, b = 11.5451 Å, c = 11.5451 Å
α = 159.13°, β = 159.13°, γ = 29.69°
Last column: nearest neighbours and their distance in Å.
Atoms (fractional coordinates):
Hf (0.0000, 0.0000, 0.0000)  4 Cl 2.96, 4 Sn 3.14
Hf (0.7500, 0.2500, 0.5000)  4 Cl 2.96, 4 Sn 3.14
Sn (0.1145, 0.6250, 0.9895)  4 Sn 2.90-3.02, 2 Hf 3.14, 2 Cl 3.17
Sn (0.3750, 0.3645, 0.4895)  4 Sn 2.90-3.02, 2 Hf 3.14, 2 Cl 3.17
Sn (0.6355, 0.1250, 0.0105)  4 Sn 2.90-3.02, 2 Hf 3.14, 2 Cl 3.17
Sn (0.8750, 0.8855, 0.5105)  4 Sn 2.90-3.02, 2 Hf 3.14, 2 Cl 3.17
Cl (0.2500, 0.7500, 0.5000)  4 Hf 2.96, 4 Sn 3.17
Cl (0.5000, 0.5000, 0.0000)  4 Hf 2.96, 4 Sn 3.17

Results
Fermi-level density of states (states/eV/atom): 0.868
Space group: I-42d (122)

=====

Ranked by calculated energy, most stable first: *Q*, *P*.

=====

*P*
Below is a relaxed structure of SrHf2Cl, with properties calculated at the GGA-PBE level.

a = 10.0218 Å, b = 10.0218 Å, c = 10.0218 Å
α = 149.40°, β = 149.40°, γ = 43.82°
Last column: nearest neighbours and their distance in Å.
Atoms (fractional coordinates):
Sr (0.0000, 0.0000, 0.0000)  8 Hf 3.64-3.88, 4 Cl 3.74
Sr (0.7500, 0.2500, 0.5000)  8 Hf 3.64-3.88, 4 Cl 3.74
Hf (0.3429, 0.1250, 0.7179)  2 Hf 2.67, 2 Cl 2.68
Hf (0.3750, 0.6571, 0.7821)  2 Hf 2.67, 2 Cl 2.68
Hf (0.4071, 0.6250, 0.2821)  2 Hf 2.67, 2 Cl 2.68
Hf (0.8750, 0.5929, 0.2179)  2 Hf 2.67, 2 Cl 2.68
Cl (0.2500, 0.7500, 0.5000)  4 Hf 2.68
Cl (0.5000, 0.5000, 0.0000)  4 Hf 2.68

Results
Fermi-level density of states (states/eV/atom): 1.313
Space group: I-42d (122)

=====

*Q*
Below is a relaxed structure of SrHf2Cl, with properties calculated at the GGA-PBE level.

a = 5.2896 Å, b = 5.2896 Å, c = 5.2896 Å
α = 60.00°, β = 60.00°, γ = 60.00°
Last column: nearest neighbours and their distance in Å.
Atoms (fractional coordinates):
Sr (0.0000, 0.0000, 0.0000)  8 Hf 3.24
Hf (0.2500, 0.2500, 0.2500)  4 Cl 3.24, 4 Sr 3.24
Hf (0.7500, 0.7500, 0.7500)  4 Cl 3.24, 4 Sr 3.24
Cl (0.5000, 0.5000, 0.5000)  8 Hf 3.24

Results
Fermi-level density of states (states/eV/atom): 1.910
Space group: Fm-3m (225)

=====

Ranked by calculated energy, most stable first: *P*, *Q*.

=====

*P*
Below is a relaxed structure of Sr3HfCl, with properties calculated at the GGA-PBE level.

a = 6.4873 Å, b = 6.4873 Å, c = 6.4873 Å
α = 90.00°, β = 90.00°, γ = 90.00°
Last column: nearest neighbours and their distance in Å.
Atoms (fractional coordinates):
Sr (0.0000, 0.0000, 0.5000)  2 Hf 3.24
Sr (0.0000, 0.5000, 0.0000)  2 Hf 3.24
Sr (0.5000, 0.0000, 0.0000)  2 Hf 3.24
Hf (0.0000, 0.0000, 0.0000)  6 Sr 3.24
Cl (0.5000, 0.5000, 0.5000)  12 Sr 4.59

Results
Fermi-level density of states (states/eV/atom): 0.953
Space group: Pm-3m (221)

=====

*Q*
Below is a relaxed structure of Sr3HfCl, with properties calculated at the GGA-PBE level.

a = 5.7669 Å, b = 5.7669 Å, c = 5.7669 Å
α = 90.00°, β = 90.00°, γ = 90.00°
Last column: nearest neighbours and their distance in Å.
Atoms (fractional coordinates):
Sr (0.0000, 0.0000, 0.5000)  2 Cl 2.88
Sr (0.0000, 0.5000, 0.0000)  2 Cl 2.88
Sr (0.5000, 0.0000, 0.0000)  2 Cl 2.88
Hf (0.5000, 0.5000, 0.5000)  12 Sr 4.08
Cl (0.0000, 0.0000, 0.0000)  6 Sr 2.88

Results
Fermi-level density of states (states/eV/atom): 1.493
Space group: Pm-3m (221)

=====

Ranked by calculated energy, most stable first: *Q*, *P*.

=====

*P*
Below is a relaxed structure of HfTaCl2, with properties calculated at the GGA-PBE level.

a = 9.1780 Å, b = 9.1780 Å, c = 9.1780 Å
α = 19.51°, β = 19.51°, γ = 19.51°
Last column: nearest neighbours and their distance in Å.
Atoms (fractional coordinates):
Hf (0.0000, 0.0000, 0.0000)  2 Cl 2.64
Ta (0.5000, 0.5000, 0.5000)  6 Cl 2.58
Cl (0.0979, 0.0979, 0.0979)  3 Ta 2.58, 1 Hf 2.64
Cl (0.9021, 0.9021, 0.9021)  3 Ta 2.58, 1 Hf 2.64

Results
Fermi-level density of states (states/eV/atom): 0.985
Space group: R-3m (166)

=====

*Q*
Below is a relaxed structure of HfTaCl2, with properties calculated at the GGA-PBE level.

a = 4.6154 Å, b = 4.6154 Å, c = 4.6154 Å
α = 60.00°, β = 60.00°, γ = 60.00°
Last column: nearest neighbours and their distance in Å.
Atoms (fractional coordinates):
Hf (0.0000, 0.0000, 0.0000)  8 Cl 2.83
Ta (0.5000, 0.5000, 0.5000)  8 Cl 2.83
Cl (0.2500, 0.2500, 0.2500)  4 Hf 2.83, 4 Ta 2.83
Cl (0.7500, 0.7500, 0.7500)  4 Hf 2.83, 4 Ta 2.83

Results
Fermi-level density of states (states/eV/atom): 0.899
Space group: Fm-3m (225)

=====

Ranked by calculated energy, most stable first: *P*, *Q*.

=====

*P*
Below is a relaxed structure of Hf2TaCl, with properties calculated at the GGA-PBE level.

a = 10.1983 Å, b = 10.1983 Å, c = 10.1983 Å
α = 156.50°, β = 156.50°, γ = 33.47°
Last column: nearest neighbours and their distance in Å.
Atoms (fractional coordinates):
Hf (0.1236, 0.6250, 0.9986)  2 Ta 2.85, 2 Cl 2.85, 4 Hf 2.93-2.94
Hf (0.3750, 0.3736, 0.4986)  2 Ta 2.85, 2 Cl 2.85, 4 Hf 2.93-2.94
Hf (0.6264, 0.1250, 0.0014)  2 Ta 2.85, 2 Cl 2.85, 4 Hf 2.93-2.94
Hf (0.8750, 0.8764, 0.5014)  2 Ta 2.85, 2 Cl 2.85, 4 Hf 2.93-2.94
Ta (0.0000, 0.0000, 0.0000)  4 Hf 2.85, 4 Cl 2.94
Ta (0.7500, 0.2500, 0.5000)  4 Hf 2.85, 4 Cl 2.94
Cl (0.2500, 0.7500, 0.5000)  4 Hf 2.85, 4 Ta 2.94
Cl (0.5000, 0.5000, 0.0000)  4 Hf 2.85, 4 Ta 2.94

Results
Fermi-level density of states (states/eV/atom): 1.005
Space group: I-42d (122)

=====

*Q*
Below is a relaxed structure of Hf2TaCl, with properties calculated at the GGA-PBE level.

a = 4.8426 Å, b = 4.8426 Å, c = 4.8426 Å
α = 60.00°, β = 60.00°, γ = 60.00°
Last column: nearest neighbours and their distance in Å.
Atoms (fractional coordinates):
Hf (0.2500, 0.2500, 0.2500)  4 Cl 2.97, 4 Ta 2.97
Hf (0.7500, 0.7500, 0.7500)  4 Cl 2.97, 4 Ta 2.97
Ta (0.0000, 0.0000, 0.0000)  8 Hf 2.97
Cl (0.5000, 0.5000, 0.5000)  8 Hf 2.97

Results
Fermi-level density of states (states/eV/atom): 1.246
Space group: Fm-3m (225)

=====

Ranked by calculated energy, most stable first: *Q*, *P*.